CsY2Tl2: optimized geometry, PBE.

As for the total energy: -18.05 eV per formula unit. The calculation puts the formation energy at 0.092 eV/atom. Its spin magnetization is 0.0 μB/f.u.

a = 5.5831 Å, b = 5.5831 Å, c = 7.2393 Å
α = 67.32°, β = 67.32°, γ = 90.00°
Fractional positions:
Cs (0.0000, 0.0000, 0.0000)
Y (0.7500, 0.2500, 0.5000)
Y (0.2500, 0.7500, 0.5000)
Tl (0.3760, 0.3760, 0.2481)
Tl (0.6240, 0.6240, 0.7519)

Pr2PaSn: optimized geometry, PBE.

As for the total energy: -22.60 eV per formula unit. The calculation puts the formation energy at 0.113 eV/atom. Its spin magnetization is 0.0 μB/f.u.

a = 3.3409 Å, b = 3.3409 Å, c = 12.3637 Å
α = 82.23°, β = 82.23°, γ = 60.00°
Fractional positions:
Pr (0.0905, 0.0905, 0.7286)
Pr (0.9095, 0.9095, 0.2714)
Pa (0.0000, 0.0000, 0.0000)
Sn (0.5000, 0.5000, 0.5000)

GaSnB2: optimized geometry, PBE.

As for the total energy: -16.93 eV per formula unit. The calculation puts the formation energy at 0.863 eV/atom. Its spin magnetization is 0.0 μB/f.u.

a = 5.1999 Å, b = 5.1999 Å, c = 6.1944 Å
α = 65.18°, β = 65.18°, γ = 90.00°
Fractional positions:
B (0.6003, 0.1250, 0.2500)
B (0.1497, 0.6250, 0.2500)
B (0.3750, 0.3997, 0.7500)
B (0.8750, 0.8503, 0.7500)
Sn (0.0000, 0.0000, 0.0000)
Sn (0.7500, 0.2500, 0.5000)
Ga (0.5000, 0.5000, 0.0000)
Ga (0.2500, 0.7500, 0.5000)

CaIn2P2: optimized geometry, PBE.

As for the total energy: -19.55 eV per formula unit. The calculation puts the formation energy at -0.250 eV/atom. Its spin magnetization is 0.0 μB/f.u.

a = 5.0664 Å, b = 5.0664 Å, c = 5.8970 Å
α = 64.56°, β = 64.56°, γ = 90.00°
Fractional positions:
P (0.7500, 0.2500, 0.5000)
P (0.2500, 0.7500, 0.5000)
Ca (0.0000, 0.0000, 0.0000)
In (0.3506, 0.3506, 0.2987)
In (0.6494, 0.6494, 0.7013)

PrDy2ThSc4: optimized geometry, PBE.

As for the total energy: -46.39 eV per formula unit. The calculation puts the formation energy at 0.042 eV/atom. Its spin magnetization is 0.0 μB/f.u.

a = 5.0133 Å, b = 5.0247 Å, c = 10.3292 Å
α = 60.91°, β = 90.00°, γ = 90.00°
Fractional positions:
Pr (0.5000, 0.5000, 0.0000)
Dy (0.0000, 0.0000, 0.0000)
Dy (0.5000, 0.0000, 0.5000)
Th (0.0000, 0.5000, 0.5000)
Sc (0.0000, 0.7546, 0.7453)
Sc (0.0000, 0.2454, 0.2547)
Sc (0.5000, 0.7456, 0.2545)
Sc (0.5000, 0.2544, 0.7455)

Ce2AuSe: optimized geometry, PBE.

As for the total energy: -22.72 eV per formula unit. Its uncorrected formation energy is -4.09 eV per formula unit. Its spin magnetization is 2.1 μB/f.u.

a = 4.0749 Å, b = 4.0749 Å, c = 8.1140 Å
α = 75.46°, β = 75.46°, γ = 60.00°
Each line ends with the local moment (μB).
Fractional positions:
Ce (0.0821, 0.0821, 0.7536)  0.85
Ce (0.2510, 0.2510, 0.2470)  0.92
Au (0.6675, 0.6675, 0.9974)  0.01
Se (0.4993, 0.4993, 0.5020)  -0.03

Co2OsI: optimized geometry, PBE.

As for the total energy: -22.82 eV per formula unit. Its uncorrected formation energy is 4.17 eV per formula unit. Its spin magnetization is 0.0 μB/f.u.

a = 5.8828 Å, b = 5.8828 Å, c = 6.2570 Å
α = 61.96°, β = 61.96°, γ = 90.00°
Fractional positions:
I (0.5000, 0.5000, 0.0000)
I (0.2500, 0.7500, 0.5000)
Co (0.6623, 0.1250, 0.2500)
Co (0.0877, 0.6250, 0.2500)
Co (0.3750, 0.3377, 0.7500)
Co (0.8750, 0.9123, 0.7500)
Os (0.0000, 0.0000, 0.0000)
Os (0.7500, 0.2500, 0.5000)

Mg2MnCl: optimized geometry, PBE.

As for the total energy: -14.47 eV per formula unit. Its uncorrected formation energy is -0.27 eV per formula unit. Its spin magnetization is 3.5 μB/f.u.

a = 3.0813 Å, b = 5.0835 Å, c = 5.0835 Å
α = 90.00°, β = 90.00°, γ = 90.00°
Each line ends with the local moment (μB).
Fractional positions:
Cl (0.5000, 0.0000, 0.5000)  0.00
Mg (0.0000, 0.0000, 0.0000)  -0.04
Mg (0.0000, 0.5000, 0.5000)  -0.04
Mn (0.5000, 0.5000, 0.0000)  3.56

Rb2CaAg2F6: optimized geometry, PBE.

As for the total energy: -47.03 eV per formula unit. Its uncorrected formation energy is -26.16 eV per formula unit. Its spin magnetization is 0.0 μB/f.u.

a = 6.4301 Å, b = 6.7230 Å, c = 6.7775 Å
α = 115.87°, β = 90.00°, γ = 118.57°
Fractional positions:
Rb (0.7251, 0.4502, 0.1676)
Rb (0.2749, 0.5498, 0.8324)
Ca (0.5000, 0.0000, 0.5000)
Ag (0.9250, 0.8500, 0.7558)
Ag (0.0750, 0.1500, 0.2442)
F (0.7103, 0.4206, 0.5756)
F (0.1939, 0.8704, 0.2152)
F (0.3236, 0.1296, 0.7848)
F (0.8061, 0.1296, 0.7848)
F (0.6764, 0.8704, 0.2152)
F (0.2897, 0.5794, 0.4244)

BeH: optimized geometry, PBE.

As for the total energy: -6.51 eV per formula unit. Its spin magnetization is 0.0 μB/f.u.

a = 7.6664 Å, b = 7.6664 Å, c = 2.2706 Å
α = 90.00°, β = 90.00°, γ = 90.00°
Fractional positions:
Be (0.3519, 0.8197, 0.0000)
Be (0.6481, 0.1803, 0.0000)
Be (0.1803, 0.3519, 0.0000)
Be (0.8197, 0.6481, 0.0000)
Be (0.8519, 0.3197, 0.5000)
Be (0.1481, 0.6803, 0.5000)
Be (0.6803, 0.8519, 0.5000)
Be (0.3197, 0.1481, 0.5000)
H (0.3012, 0.0063, 0.0000)
H (0.6988, 0.9937, 0.0000)
H (0.9937, 0.3012, 0.0000)
H (0.0063, 0.6988, 0.0000)
H (0.8012, 0.5063, 0.5000)
H (0.1988, 0.4937, 0.5000)
H (0.4937, 0.8012, 0.5000)
H (0.5063, 0.1988, 0.5000)

K2Sn2Te3: optimized geometry, PBE.

As for the total energy: -23.74 eV per formula unit. Its uncorrected formation energy is -4.12 eV per formula unit. Its spin magnetization is 0.0 μB/f.u.

a = 8.4684 Å, b = 8.4912 Å, c = 8.1145 Å
α = 90.00°, β = 77.48°, γ = 90.00°
Fractional positions:
K (0.8676, 0.6640, 0.7991)
K (0.3676, 0.8360, 0.7991)
K (0.6324, 0.1640, 0.2009)
K (0.1324, 0.3360, 0.2009)
Sn (0.4822, 0.3235, 0.6790)
Sn (0.0178, 0.8235, 0.3210)
Sn (0.9822, 0.1765, 0.6790)
Sn (0.5178, 0.6765, 0.3210)
Te (0.5000, 0.5000, 0.0000)
Te (0.0000, 0.0000, 0.0000)
Te (0.7467, 0.9719, 0.5571)
Te (0.7533, 0.4719, 0.4429)
Te (0.2467, 0.5281, 0.5571)
Te (0.2533, 0.0281, 0.4429)

NaCaTbTl: optimized geometry, PBE.

As for the total energy: -10.80 eV per formula unit. The calculation puts the formation energy at -0.121 eV/atom. Its spin magnetization is 0.0 μB/f.u.

a = 5.4926 Å, b = 5.4926 Å, c = 5.4926 Å
α = 60.00°, β = 60.00°, γ = 60.00°
Fractional positions:
Na (0.0000, 0.0000, 0.0000)
Tl (0.5000, 0.5000, 0.5000)
Tb (0.7500, 0.7500, 0.7500)
Ca (0.2500, 0.2500, 0.2500)

Ta2ZnCo: optimized geometry, PBE.

As for the total energy: -32.01 eV per formula unit. The calculation puts the formation energy at 0.018 eV/atom. Its spin magnetization is 0.0 μB/f.u.

a = 5.3217 Å, b = 5.3217 Å, c = 4.5869 Å
α = 64.62°, β = 64.62°, γ = 31.76°
Fractional positions:
Co (0.2492, 0.2492, 0.2526)
Ta (0.9792, 0.9792, 0.0194)
Ta (0.7456, 0.7456, 0.7553)
Zn (0.5260, 0.5260, 0.4727)

TlNiH6Pd: optimized geometry, PBE.

As for the total energy: -32.70 eV per formula unit. Its spin magnetization is 0.0 μB/f.u.

a = 4.6813 Å, b = 4.6814 Å, c = 5.2371 Å
α = 90.00°, β = 90.00°, γ = 60.00°
Fractional positions:
Tl (0.0000, 0.0000, 0.0000)
Ni (0.3333, 0.3333, 0.5000)
H (0.0204, 0.3584, 0.3440)
H (0.3584, 0.0205, 0.6560)
H (0.6211, 0.3585, 0.6560)
H (0.0204, 0.6211, 0.6560)
H (0.3584, 0.6211, 0.3440)
H (0.6211, 0.0204, 0.3440)
Pd (0.6666, 0.6667, 0.5000)

NpSbH2Ru: optimized geometry, PBE.

As for the total energy: -34.35 eV per formula unit. Its spin magnetization is 4.3 μB/f.u.

a = 4.1970 Å, b = 5.8170 Å, c = 5.9541 Å
α = 90.00°, β = 90.00°, γ = 111.15°
Each line ends with the local moment (μB).
Fractional positions:
Np (0.7106, 0.4213, 0.7500)  3.90
Np (0.2894, 0.5787, 0.2500)  3.90
Sb (0.4216, 0.8431, 0.7500)  -0.03
Sb (0.5784, 0.1569, 0.2500)  -0.03
H (0.1594, 0.3187, 0.9330)  -0.01
H (0.8406, 0.6813, 0.0670)  -0.01
H (0.1594, 0.3187, 0.5670)  -0.01
H (0.8406, 0.6813, 0.4330)  -0.01
Ru (0.0000, 0.0000, 0.0000)  0.15
Ru (0.0000, 0.0000, 0.5000)  0.15

Zr6FeAu: optimized geometry, PBE.

As for the total energy: -63.93 eV per formula unit. The calculation puts the formation energy at -0.112 eV/atom. Its spin magnetization is 0.0 μB/f.u.

a = 5.8119 Å, b = 7.6856 Å, c = 5.6285 Å
α = 68.16°, β = 84.40°, γ = 46.77°
Fractional positions:
Zr (0.1430, 0.2518, 0.7478)
Zr (0.8303, 0.9285, 0.6590)
Zr (0.4170, 0.3413, 0.0713)
Zr (0.1697, 0.0715, 0.3410)
Zr (0.8570, 0.7482, 0.2522)
Zr (0.5830, 0.6587, 0.9287)
Fe (0.0000, 0.0000, 0.0000)
Au (0.5000, 0.5000, 0.5000)

ScRhBr: optimized geometry, PBE.

As for the total energy: -17.48 eV per formula unit. Its uncorrected formation energy is -2.12 eV per formula unit. Its spin magnetization is 0.0 μB/f.u.

a = 3.3915 Å, b = 3.3915 Å, c = 6.4262 Å
α = 90.00°, β = 90.00°, γ = 120.00°
Fractional positions:
Br (0.0000, 0.0000, 0.9570)
Rh (0.6667, 0.3333, 0.3896)
Sc (0.3333, 0.6667, 0.6533)

Tb3Zr3NpN8: optimized geometry, PBE.

As for the total energy: -141.44 eV per formula unit. Its uncorrected formation energy is -22.36 eV per formula unit. Its spin magnetization is 1.5 μB/f.u.

a = 6.6691 Å, b = 6.6691 Å, c = 6.7973 Å
α = 119.38°, β = 90.00°, γ = 120.00°
Each line ends with the local moment (μB).
Fractional positions:
Tb (0.0000, 0.0000, 0.0000)  -0.01
Tb (0.0000, 0.5000, 0.0000)  -0.01
Tb (0.5000, 0.5000, 0.0000)  -0.01
Zr (0.5000, 0.0000, 0.5000)  -0.02
Zr (0.5000, 0.5000, 0.5000)  -0.02
Zr (0.0000, 0.5000, 0.5000)  -0.02
Np (0.0000, 0.0000, 0.5000)  -1.54
N (0.2556, 0.5111, 0.2667)  -0.01
N (0.7444, 0.4889, 0.7333)  -0.01
N (0.7697, 0.5394, 0.2863)  0.04
N (0.2303, 0.4606, 0.7137)  0.04
N (0.7697, 0.0166, 0.2863)  0.04
N (0.2303, 0.9834, 0.7137)  0.04
N (0.2469, 0.0166, 0.2863)  0.04
N (0.7531, 0.9834, 0.7137)  0.04

PrDy3Sc4: optimized geometry, PBE.

As for the total energy: -43.59 eV per formula unit. The calculation puts the formation energy at 0.041 eV/atom. Its spin magnetization is 0.0 μB/f.u.

a = 6.0118 Å, b = 7.0082 Å, c = 10.8633 Å
α = 90.00°, β = 90.00°, γ = 90.00°
Fractional positions:
Pr (0.1412, 0.3656, 0.0000)
Pr (0.6412, 0.6344, 0.5000)
Dy (0.6400, 0.6356, 0.0000)
Dy (0.9878, 0.6363, 0.2497)
Dy (0.4878, 0.3637, 0.2503)
Dy (0.1400, 0.3644, 0.5000)
Dy (0.4878, 0.3637, 0.7497)
Dy (0.9878, 0.6363, 0.7503)
Sc (0.1511, 0.8855, 0.0000)
Sc (0.6503, 0.1130, 0.0000)
Sc (0.9786, 0.1149, 0.2523)
Sc (0.4786, 0.8851, 0.2477)
Sc (0.1503, 0.8870, 0.5000)
Sc (0.6511, 0.1145, 0.5000)
Sc (0.4786, 0.8851, 0.7523)
Sc (0.9786, 0.1149, 0.7477)

CoSn3Pd12: optimized geometry, PBE.

As for the total energy: -87.00 eV per formula unit. The calculation puts the formation energy at -0.348 eV/atom. Its spin magnetization is 3.4 μB/f.u.

a = 4.0074 Å, b = 4.0074 Å, c = 15.9244 Å
α = 90.00°, β = 90.00°, γ = 90.00°
Each line ends with the local moment (μB).
Fractional positions:
Co (0.0000, 0.0000, 0.0000)  -2.20
Sn (0.0000, 0.0000, 0.2433)  -0.01
Sn (0.0000, 0.0000, 0.5000)  0.00
Sn (0.0000, 0.0000, 0.7567)  -0.01
Pd (0.5000, 0.5000, 0.0000)  -0.28
Pd (0.5000, 0.5000, 0.2453)  -0.06
Pd (0.5000, 0.5000, 0.5000)  -0.01
Pd (0.5000, 0.5000, 0.7547)  -0.06
Pd (0.5000, 0.0000, 0.1169)  -0.19
Pd (0.5000, 0.0000, 0.3722)  -0.02
Pd (0.5000, 0.0000, 0.6278)  -0.02
Pd (0.5000, 0.0000, 0.8831)  -0.19
Pd (0.0000, 0.5000, 0.1169)  -0.19
Pd (0.0000, 0.5000, 0.3722)  -0.02
Pd (0.0000, 0.5000, 0.6278)  -0.02
Pd (0.0000, 0.5000, 0.8831)  -0.19

CsICl5: optimized geometry, PBE.

As for the total energy: -15.84 eV per formula unit. Its uncorrected formation energy is -4.21 eV per formula unit. Its spin magnetization is 1.0 μB/f.u.

a = 7.0958 Å, b = 7.0958 Å, c = 14.5150 Å
α = 115.22°, β = 115.22°, γ = 92.87°
Each line ends with the local moment (μB).
Fractional positions:
Cs (0.8788, 0.6212, 0.2500)  0.00
Cs (0.1212, 0.3788, 0.7500)  0.00
I (0.0000, 0.0000, 0.0000)  0.38
I (0.5000, 0.5000, 0.5000)  0.38
Cl (0.8764, 0.0577, 0.1459)  0.04
Cl (0.1894, 0.7536, 0.5771)  0.13
Cl (0.5577, 0.3764, 0.6459)  0.04
Cl (0.5306, 0.9694, 0.2500)  0.01
Cl (0.7464, 0.3106, 0.9229)  0.13
Cl (0.2536, 0.6894, 0.0771)  0.13
Cl (0.4694, 0.0306, 0.7500)  0.01
Cl (0.4423, 0.6236, 0.3541)  0.04
Cl (0.8106, 0.2464, 0.4229)  0.13
Cl (0.1236, 0.9423, 0.8541)  0.04

Mg2ReIr: optimized geometry, PBE.

As for the total energy: -24.14 eV per formula unit. The calculation puts the formation energy at 0.090 eV/atom. Its spin magnetization is 0.0 μB/f.u.

a = 4.5048 Å, b = 2.7779 Å, c = 5.0710 Å
α = 81.95°, β = 90.00°, γ = 90.00°
Fractional positions:
Ir (0.5000, 0.7500, 0.7500)
Mg (0.0000, 0.9807, 0.9978)
Mg (0.0000, 0.5193, 0.5022)
Re (0.5000, 0.2500, 0.2500)

TbScCu: optimized geometry, PBE.

As for the total energy: -15.42 eV per formula unit. The calculation puts the formation energy at -0.120 eV/atom. Its spin magnetization is 0.0 μB/f.u.

a = 3.3668 Å, b = 3.3668 Å, c = 6.3962 Å
α = 105.26°, β = 105.26°, γ = 90.00°
Fractional positions:
Sc (0.3004, 0.3004, 0.6009)
Tb (0.0192, 0.0192, 0.0385)
Cu (0.6803, 0.6803, 0.3606)

Pr3ErPu2Se6: optimized geometry, PBE.

As for the total energy: -89.26 eV per formula unit. Its uncorrected formation energy is -20.78 eV per formula unit. Its spin magnetization is 11.5 μB/f.u.

a = 7.2187 Å, b = 7.2187 Å, c = 7.3113 Å
α = 99.47°, β = 99.47°, γ = 120.01°
Each line ends with the local moment (μB).
Fractional positions:
Pr (0.1690, 0.8310, 0.5000)  0.01
Pr (0.8310, 0.1690, 0.5000)  0.01
Pr (0.5000, 0.5000, 0.5000)  0.01
Er (0.0000, 0.0000, 0.0000)  0.07
Pu (0.3338, 0.6662, 0.0000)  5.43
Pu (0.6662, 0.3338, 0.0000)  5.43
Se (0.9218, 0.5928, 0.7647)  -0.03
Se (0.7510, 0.7510, 0.2387)  -0.03
Se (0.0782, 0.4072, 0.2353)  -0.03
Se (0.5928, 0.9218, 0.7647)  -0.03
Se (0.2490, 0.2490, 0.7613)  -0.03
Se (0.4072, 0.0782, 0.2353)  -0.03